Entry 1:
Entry from Alexandria via LeMat-Bulk: crystalline NdThAlZn at its relaxed geometry (PBE).

Unit cell a=5.2418 b=5.2418 c=5.2418 alpha=60.00 beta=60.00 gamma=60.00
Closest atoms and distances in Å follow each position.
Fractional coordinates of all 4 atoms:
1 Zn 0.7500 0.7500 0.7500  4 Nd 3.21, 4 Th 3.21
2 Nd 0.5000 0.5000 0.5000  4 Al 3.21, 4 Zn 3.21
3 Al 0.2500 0.2500 0.2500  4 Th 3.21, 4 Nd 3.21
4 Th 0.0000 0.0000 0.0000  4 Al 3.21, 4 Zn 3.21

Calculated values
As for the space group: F-43m, No. 216. The energy relative to the elements comes out at -0.257 eV per atom.

Entry 2:
Entry from Alexandria via LeMat-Bulk: crystalline TlCuPb2 at its relaxed geometry (PBE).

Unit cell a=4.5114 b=4.8495 c=4.8495 alpha=90.00 beta=90.00 gamma=90.00
Closest atoms and distances in Å follow each position.
Fractional coordinates of all 4 atoms:
1 Cu 0.5000 0.0000 0.5000  8 Pb 3.31, 4 Tl 3.43
2 Pb 0.0000 0.0000 0.0000  4 Tl 3.31, 4 Cu 3.31, 4 Pb 3.43
3 Pb 0.0000 0.5000 0.5000  4 Tl 3.31, 4 Cu 3.31, 4 Pb 3.43
4 Tl 0.5000 0.5000 0.0000  8 Pb 3.31, 4 Cu 3.43

Calculated values
As for the space group: P4/mmm, No. 123. The energy relative to the elements comes out at 0.275 eV per atom.

Entry 3:
Entry from Alexandria via LeMat-Bulk: crystalline SmNiSn3Ru at its relaxed geometry (PBE).

Unit cell a=7.1831 b=6.4690 c=6.7314 alpha=118.72 beta=90.00 gamma=90.00
Closest atoms and distances in Å follow each position.
Fractional coordinates of all 12 atoms:
1 Sm 0.7500 0.2740 0.5480  1 Ni 2.71
2 Sm 0.2500 0.7260 0.4520  1 Ni 2.71
3 Ni 0.2500 0.9558 0.9116  5 Sn 2.53-2.65, 1 Sm 2.71
4 Ni 0.7500 0.0442 0.0884  5 Sn 2.53-2.65, 1 Sm 2.71
5 Sn 0.2500 0.1800 0.3600  1 Ru 2.55, 1 Ni 2.65
6 Sn 0.0000 0.2638 0.0000  2 Ni 2.53, 2 Ru 2.66
7 Sn 0.5000 0.7362 0.0000  2 Ni 2.53, 2 Ru 2.66
8 Sn 0.5000 0.2638 0.0000  2 Ni 2.53, 2 Ru 2.66
9 Sn 0.0000 0.7362 0.0000  2 Ni 2.53, 2 Ru 2.66
10 Sn 0.7500 0.8200 0.6400  1 Ru 2.55, 1 Ni 2.65
11 Ru 0.2500 0.3964 0.7927  5 Sn 2.55-2.66
12 Ru 0.7500 0.6036 0.2073  5 Sn 2.55-2.66

Calculated values
As for the space group: Cmcm, No. 63. The energy relative to the elements comes out at -0.156 eV per atom.

Entry 4:
Entry from Alexandria via LeMat-Bulk: crystalline LiPrGaGe at its relaxed geometry (PBE).

Unit cell a=4.9786 b=4.9786 c=4.9786 alpha=60.00 beta=60.00 gamma=60.00
Closest atoms and distances in Å follow each position.
Fractional coordinates of all 4 atoms:
1 Pr 0.0000 0.0000 0.0000  4 Ge 3.05, 4 Ga 3.05
2 Ge 0.2500 0.2500 0.2500  4 Li 3.05, 4 Pr 3.05
3 Ga 0.7500 0.7500 0.7500  4 Li 3.05, 4 Pr 3.05
4 Li 0.5000 0.5000 0.5000  4 Ge 3.05, 4 Ga 3.05

Calculated values
As for the space group: F-43m, No. 216. The energy relative to the elements comes out at -0.412 eV per atom.

Entry 5:
Entry from Alexandria via LeMat-Bulk: crystalline Pa6TcGe2 at its relaxed geometry (PBE).

Unit cell a=3.2334 b=8.4337 c=8.4337 alpha=120.00 beta=90.00 gamma=90.00
Closest atoms and distances in Å follow each position.
Fractional coordinates of all 9 atoms:
1 Pa 0.2335 0.6478 0.6946  1 Tc 2.92, 3 Ge 3.01-3.13, 4 Pa 3.18-3.23
2 Pa 0.2335 0.0468 0.3522  1 Tc 2.92, 3 Ge 3.01-3.13, 4 Pa 3.18-3.23
3 Pa 0.2335 0.3054 0.9532  1 Tc 2.92, 3 Ge 3.01-3.13, 4 Pa 3.18-3.23
4 Pa 0.7665 0.3522 0.3054  1 Tc 2.92, 3 Ge 3.01-3.13, 4 Pa 3.18-3.23
5 Pa 0.7665 0.9532 0.6478  1 Tc 2.92, 3 Ge 3.01-3.13, 4 Pa 3.18-3.23
6 Pa 0.7665 0.6946 0.0468  1 Tc 2.92, 3 Ge 3.01-3.13, 4 Pa 3.18-3.23
7 Tc 0.5000 0.0000 0.0000  6 Pa 2.92, 2 Tc 3.23
8 Ge 0.2633 0.6667 0.3333  9 Pa 3.01-3.13, 2 Ge 3.23
9 Ge 0.7367 0.3333 0.6667  9 Pa 3.01-3.13, 2 Ge 3.23

Calculated values
As for the space group: P-3, No. 147. The energy relative to the elements comes out at -0.177 eV per atom.

Entry 6:
Entry from Alexandria via LeMat-Bulk: crystalline LiTl2Cu2Cl7 at its relaxed geometry (PBE).

Unit cell a=4.8735 b=4.8735 c=12.8828 alpha=79.22 beta=79.22 gamma=90.02
Closest atoms and distances in Å follow each position.
Fractional coordinates of all 12 atoms:
1 Li 0.0000 0.0000 0.0000  12 Cl 3.26-3.45
2 Tl 0.8237 0.8237 0.3574  9 Cl 3.28-3.46
3 Tl 0.1763 0.1763 0.6426  9 Cl 3.28-3.46
4 Cu 0.5924 0.5924 0.8111  6 Cl 2.35-2.44
5 Cu 0.4076 0.4076 0.1889  6 Cl 2.35-2.44
6 Cl 0.5000 0.5000 0.0000  2 Cu 2.35
7 Cl 0.3142 0.3142 0.3784  1 Cu 2.35
8 Cl 0.6858 0.6858 0.6216  1 Cu 2.35
9 Cl 0.9146 0.4155 0.1749  2 Cu 2.44
10 Cl 0.4155 0.9146 0.1749  2 Cu 2.44
11 Cl 0.5845 0.0854 0.8251  2 Cu 2.44
12 Cl 0.0854 0.5845 0.8251  2 Cu 2.44

Calculated values
The value obtained for the formation energy (no corrections) is -0.802 eV per atom. As for the space group: C2/m, No. 12.

Entry 7:
Entry from Alexandria via LeMat-Bulk: crystalline Sr2CdBiO4 at its relaxed geometry (PBE).

Unit cell a=6.8532 b=6.8532 c=8.1037 alpha=117.89 beta=117.89 gamma=91.05
Closest atoms and distances in Å follow each position.
Fractional coordinates of all 16 atoms:
1 Sr 0.5000 0.0000 0.0000  6 O 2.57-2.67
2 Sr 0.5000 0.0000 0.5000  6 O 2.57-2.67
3 Sr 0.0000 0.0000 0.5000  6 O 2.50-2.53
4 Sr 0.5000 0.5000 0.0000  6 O 2.50-2.53
5 Cd 0.0000 0.5000 0.0000  4 O 2.28-2.41
6 Cd 0.0000 0.5000 0.5000  4 O 2.28-2.41
7 Bi 0.5000 0.5000 0.5000  4 O 2.42
8 Bi 0.0000 0.0000 0.0000  4 O 2.42
9 O 0.2617 0.7731 0.0577  1 Cd 2.28, 1 Bi 2.42, 1 Sr 2.53
10 O 0.7269 0.2383 0.4423  1 Cd 2.28, 1 Bi 2.42, 1 Sr 2.53
11 O 0.2731 0.7617 0.5577  1 Cd 2.28, 1 Bi 2.42, 1 Sr 2.53
12 O 0.7383 0.2269 0.9423  1 Cd 2.28, 1 Bi 2.42, 1 Sr 2.53
13 O 0.8152 0.7955 0.0899  1 Cd 2.41, 1 Bi 2.42, 3 Sr 2.50-2.60
14 O 0.7045 0.6848 0.4101  1 Cd 2.41, 1 Bi 2.42, 3 Sr 2.50-2.60
15 O 0.2955 0.3152 0.5899  1 Cd 2.41, 1 Bi 2.42, 3 Sr 2.50-2.60
16 O 0.1848 0.2045 0.9101  1 Cd 2.41, 1 Bi 2.42, 3 Sr 2.50-2.60

Calculated values
The value obtained for the formation energy (no corrections) is -1.749 eV per atom. As for the space group: C2/c, No. 15.

Entry 8:
Entry from Alexandria via LeMat-Bulk: crystalline BaU2NiN5 at its relaxed geometry (PBE).

Unit cell a=6.5413 b=6.5413 c=7.3332 alpha=116.49 beta=116.49 gamma=90.00
Closest atoms and distances in Å follow each position.
Fractional coordinates of all 18 atoms:
1 Ba 0.2500 0.2500 0.5000  10 N 2.85-2.93
2 Ba 0.7500 0.7500 0.5000  10 N 2.85-2.93
3 U 0.1790 0.3210 0.0000  4 N 2.15-2.40
4 U 0.6790 0.1790 0.0000  4 N 2.15-2.40
5 U 0.3210 0.8210 0.0000  4 N 2.15-2.40
6 U 0.8210 0.6790 0.0000  4 N 2.15-2.40
7 Ni 0.2500 0.7500 0.5000  4 N 1.97
8 Ni 0.7500 0.2500 0.5000  4 N 1.97
9 N 0.9791 0.4791 0.2397  1 Ni 1.97, 1 U 2.15
10 N 0.7394 0.2394 0.7603  1 Ni 1.97, 1 U 2.15
11 N 0.0209 0.5209 0.7603  1 Ni 1.97, 1 U 2.15
12 N 0.2394 0.0209 0.7603  1 Ni 1.97, 1 U 2.15
13 N 0.5209 0.7394 0.7603  1 Ni 1.97, 1 U 2.15
14 N 0.7606 0.9791 0.2397  1 Ni 1.97, 1 U 2.15
15 N 0.4791 0.2606 0.2397  1 Ni 1.97, 1 U 2.15
16 N 0.2606 0.7606 0.2397  1 Ni 1.97, 1 U 2.15
17 N 0.5000 0.5000 0.0000  4 U 2.40
18 N 0.0000 0.0000 0.0000  4 U 2.40

Calculated values
The value obtained for the formation energy (no corrections) is -0.879 eV per atom. As for the space group: I4/mcm, No. 140.

Entry 9:
Entry from Alexandria via LeMat-Bulk: crystalline Hf2Co2Cu at its relaxed geometry (PBE).

Unit cell a=3.9752 b=4.9270 c=4.9282 alpha=63.36 beta=66.18 gamma=66.19
Closest atoms and distances in Å follow each position.
Fractional coordinates of all 5 atoms:
1 Hf 0.2903 0.2098 0.7099  6 Co 2.59-2.76
2 Hf 0.7097 0.7902 0.2901  6 Co 2.59-2.76
3 Co 0.9999 0.2184 0.2815  1 Co 2.26, 2 Cu 2.46
4 Co 0.0001 0.7816 0.7185  1 Co 2.26, 2 Cu 2.46
5 Cu 0.5000 0.5000 0.0000  4 Co 2.46

Calculated values
As for the space group: Immm, No. 71. The energy relative to the elements comes out at -0.327 eV per atom. The distance to the lowest polymorph of the same formula comes out at 0 meV per atom.

Entry 10:
Entry from Alexandria via LeMat-Bulk: crystalline Ba2MnSb at its relaxed geometry (PBE).

Unit cell a=5.7410 b=5.7410 c=5.7410 alpha=60.00 beta=60.00 gamma=60.00
Closest atoms and distances in Å follow each position.
Fractional coordinates of all 4 atoms:
1 Ba 0.0000 0.0000 0.0000  4 Sb 3.52, 4 Ba 3.52
2 Ba 0.2500 0.2500 0.2500  4 Mn 3.52, 4 Ba 3.52
3 Mn 0.5000 0.5000 0.5000  4 Sb 3.52, 4 Ba 3.52
4 Sb 0.7500 0.7500 0.7500  4 Ba 3.52, 4 Mn 3.52

Calculated values
The value obtained for the formation energy (no corrections) is 0.147 eV per atom. As for the space group: F-43m, No. 216.

Sequential size of the total moment output: 0.00 0.00 0.00 0.00 0.00 0.00 0.00 1.21 0.00 3.65 Bohr magnetons per cell
Sequential calculated total energy output: -0.3350 -0.2348 -0.4008 -0.2937 -0.6383 -0.2290 -0.3857 -0.6519 -0.5858 -0.3041 Ry per atom
Sequential theoretical density output: 7.6 10.7 8.1 5.5 13.6 4.5 6.6 10.1 11.8 5.6 Mg/m³